Entry from the Alexandria database: a geometry-optimized KLiInI5 structure (PBE).

The density of states at the Fermi level is 0.000 states/eV per atom. The value obtained for the mass density is 3757 kg/m3. The magnetic moment is 0.0 μB per cell. For the uncorrected formation energy, the calculation gives -910 meV/atom.

Cell: 10.7757 13.5976 10.3779 Å, 90.00 112.36 90.00°
Last column: nearest neighbours and their distance in Å.
Space group C2/c (No. 15)
Symmetry-distinct sites (fractional):
1 K 0.0000 0.1759 0.2500 (multiplicity 4)  7 I 3.50-3.82
2 Li 0.0000 0.5000 0.0000 (multiplicity 4)  2 I 2.75
3 In 0.0000 0.1628 0.7500 (multiplicity 4)  4 I 2.77-2.78
4 I 0.0000 0.4335 0.2500 (multiplicity 4)  2 Li 2.75
5 I 0.1217 0.2805 0.6133 (multiplicity 8)  1 In 2.78
6 I 0.1834 0.0467 0.9535 (multiplicity 8)  1 In 2.77

=====

Entry from the Alexandria database: a geometry-optimized KLiIn2I4 structure (PBE).

The density of states at the Fermi level is 0.000 states/eV per atom. The value obtained for the mass density is 4027 kg/m3. The magnetic moment is 0.0 μB per cell. For the uncorrected formation energy, the calculation gives -850 meV/atom.

Cell: 13.7413 13.6706 9.6945 Å, 90.00 134.82 90.00°
Last column: nearest neighbours and their distance in Å.
Space group C2/c (No. 15)
Symmetry-distinct sites (fractional):
1 K 0.2500 0.2500 0.0000 (multiplicity 4)  6 I 3.43-3.46
2 Li 0.0000 0.0000 0.0000 (multiplicity 4)  6 I 3.08-3.31
3 In 0.0000 0.5000 0.0000 (multiplicity 4)  6 I 3.58-3.75
4 In 0.2500 0.2500 0.5000 (multiplicity 4)  6 I 3.42-3.45
5 I 0.0000 0.2256 0.0007 (multiplicity 8)  1 Li 3.08, 2 In 3.45
6 I 0.2293 0.0004 0.4804 (multiplicity 8)  2 Li 3.29-3.31, 3 In 3.42-3.59, 1 K 3.43

=====

Entry from the Alexandria database: a geometry-optimized KMgInI4 structure (PBE).

The density of states at the Fermi level is 0.000 states/eV per atom. The value obtained for the mass density is 3630 kg/m3. The magnetic moment is 0.0 μB per cell. For the uncorrected formation energy, the calculation gives -983 meV/atom.

Cell: 8.0634 8.3977 9.7158 Å, 90.00 107.50 90.00°
Last column: nearest neighbours and their distance in Å.
Space group P2_1/m (No. 11)
Symmetry-distinct sites (fractional):
1 K 0.2437 0.2500 0.0585 (multiplicity 2)  6 I 3.59-3.71
2 Mg 0.2316 0.7500 0.3100 (multiplicity 2)  4 I 2.73-2.75
3 In 0.2254 0.2500 0.5512 (multiplicity 2)  6 I 3.45-3.74
4 I 0.0049 0.0030 0.2472 (multiplicity 4)  1 Mg 2.75
5 I 0.4321 0.7500 0.5918 (multiplicity 2)  1 Mg 2.73
6 I 0.4330 0.7500 0.1278 (multiplicity 2)  1 Mg 2.74

=====

Entry from the Alexandria database: a geometry-optimized KMnInI4 structure (PBE).

The density of states at the Fermi level is 0.000 states/eV per atom. The value obtained for the mass density is 3938 kg/m3. The magnetic moment is 10.0 μB per cell. For the uncorrected formation energy, the calculation gives -741 meV/atom.

Cell: 8.0283 8.2412 9.5971 Å, 90.00 107.89 90.00°
Last column: nearest neighbours and their distance in Å.
Space group P2_1/m (No. 11)
Symmetry-distinct sites (fractional):
1 K 0.2222 0.2500 0.0548 (multiplicity 2)  6 I 3.51-3.72
2 Mn 0.2337 0.7500 0.7999 (multiplicity 2)  4 I 2.67-2.71
3 In 0.2449 0.2500 0.5630 (multiplicity 2)  6 I 3.56-3.63
4 I 0.0045 0.0015 0.7363 (multiplicity 4)  1 Mn 2.71
5 I 0.4134 0.7500 0.0861 (multiplicity 2)  1 Mn 2.68
6 I 0.4277 0.7500 0.6179 (multiplicity 2)  1 Mn 2.67

=====

Entry from the Alexandria database: a geometry-optimized KInIN2 structure (PBE).

The excess energy over the best structure of this formula in the dataset comes out at 658 meV per atom. The density of states at the Fermi level is 0.456 states/eV per atom. The value obtained for the mass density is 2617 kg/m3. The magnetic moment is 5.0 μB per cell. For the uncorrected formation energy, the calculation gives 1487 meV/atom.

Cell: 5.2856 5.2856 7.0156 Å, 90.00 90.00 90.00°
Last column: nearest neighbours and their distance in Å.
Space group P4/mmm (No. 123)
Symmetry-distinct sites (fractional):
1 K 0.0000 0.0000 0.0000 (multiplicity 1)  4 N 2.64
2 In 0.5000 0.5000 0.5000 (multiplicity 1)  4 I 3.74
3 I 0.0000 0.0000 0.5000 (multiplicity 1)  2 K 3.51, 4 In 3.74
4 N 0.0000 0.5000 0.0000 (multiplicity 2)  2 K 2.64

=====

Entry from the Alexandria database: a geometry-optimized K2InIN structure (PBE).

The density of states at the Fermi level is 1.056 states/eV per atom. The value obtained for the mass density is 1840 kg/m3. The magnetic moment is 3.2 μB per cell. For the uncorrected formation energy, the calculation gives 769 meV/atom.

Cell: 6.9390 6.9390 6.2589 Å, 90.00 90.00 90.00°
Last column: nearest neighbours and their distance in Å.
Space group P4/mmm (No. 123)
Symmetry-distinct sites (fractional):
1 K 0.0000 0.5000 0.0000 (multiplicity 2)  2 In 3.47
2 In 0.0000 0.0000 0.0000 (multiplicity 1)  2 I 3.13, 4 K 3.47
3 I 0.0000 0.0000 0.5000 (multiplicity 1)  2 In 3.13
4 N 0.5000 0.5000 0.5000 (multiplicity 1)  8 K 4.67, 4 I 4.91

=====

Entry from the Alexandria database: a geometry-optimized KInIN2 structure (PBE).

The excess energy over the best structure of this formula in the dataset comes out at 0 meV per atom. The density of states at the Fermi level is 0.326 states/eV per atom. The value obtained for the mass density is 3767 kg/m3. The magnetic moment is 3.0 μB per cell. For the uncorrected formation energy, the calculation gives 829 meV/atom.

Cell: 4.6740 4.6740 6.2310 Å, 90.00 90.00 90.00°
Last column: nearest neighbours and their distance in Å.
Space group P4/mmm (No. 123)
Symmetry-distinct sites (fractional):
1 K 0.0000 0.0000 0.0000 (multiplicity 1)  4 I 3.31
2 In 0.5000 0.5000 0.5000 (multiplicity 1)  4 N 2.34
3 I 0.5000 0.5000 0.0000 (multiplicity 1)  2 In 3.12, 4 K 3.31
4 N 0.0000 0.5000 0.5000 (multiplicity 2)  2 In 2.34

=====

Entry from the Alexandria database: a geometry-optimized K3Na2InI6 structure (PBE).

The density of states at the Fermi level is 0.000 states/eV per atom. The value obtained for the mass density is 3435 kg/m3. The magnetic moment is 0.0 μB per cell. For the uncorrected formation energy, the calculation gives -1224 meV/atom.

Cell: 21.3699 4.8945 9.8686 Å, 90.00 103.15 90.00°
Last column: nearest neighbours and their distance in Å.
Space group C2/m (No. 12)
Symmetry-distinct sites (fractional):
1 K 0.0000 0.0000 0.0000 (multiplicity 2)  6 I 3.48-3.58
2 K 0.1638 0.5000 0.3337 (multiplicity 4)  6 I 3.51-3.60
3 Na 0.1699 0.5000 0.8389 (multiplicity 4)  6 I 3.30-3.37
4 In 0.0000 0.0000 0.5000 (multiplicity 2)  6 I 3.48-3.50
5 I 0.0085 0.5000 0.7543 (multiplicity 4)  1 Na 3.36, 3 K 3.48-3.58, 2 In 3.48
6 I 0.1677 0.0000 0.6033 (multiplicity 4)  2 Na 3.37, 1 In 3.50, 3 K 3.51-3.60
7 I 0.1718 0.0000 0.0715 (multiplicity 4)  3 Na 3.30-3.35, 3 K 3.58-3.59

=====

Entry from the Alexandria database: a geometry-optimized KNaInI5 structure (PBE).

The density of states at the Fermi level is 0.000 states/eV per atom. The value obtained for the mass density is 3524 kg/m3. The magnetic moment is 0.0 μB per cell. For the uncorrected formation energy, the calculation gives -923 meV/atom.

Cell: 11.0725 13.9004 10.9656 Å, 90.00 115.02 90.00°
Last column: nearest neighbours and their distance in Å.
Space group C2/c (No. 15)
Symmetry-distinct sites (fractional):
1 K 0.0000 0.1706 0.2500 (multiplicity 4)  3 I 3.40-3.72
2 Na 0.0000 0.5000 0.0000 (multiplicity 4)  2 I 2.99
3 In 0.0000 0.1601 0.7500 (multiplicity 4)  4 I 2.78
4 I 0.0000 0.4149 0.2500 (multiplicity 4)  2 Na 2.99
5 I 0.1186 0.2729 0.6221 (multiplicity 8)  1 In 2.78
6 I 0.1786 0.0427 0.9499 (multiplicity 8)  1 In 2.78

=====

Entry from the Alexandria database: a geometry-optimized K2NaInI6 structure (PBE).

The value obtained for the mass density is 3747 kg/m3. The magnetic moment is 0.0 μB per cell. For the uncorrected formation energy, the calculation gives -1009 meV/atom.

Cell: 8.5012 8.5012 20.7626 Å, 90.00 90.00 120.00°
Last column: nearest neighbours and their distance in Å.
Space group R3 (No. 146, hexagonal axes)
Symmetry-distinct sites (fractional):
1 K 0.0000 0.0000 0.0000 (multiplicity 3)  6 I 3.55-3.69
2 K 0.0000 0.0000 0.4905 (multiplicity 3)  6 I 3.53-3.70
3 Na 0.0000 0.0000 0.2741 (multiplicity 3)  6 I 3.18-3.31
4 In 0.0000 0.0000 0.7807 (multiplicity 3)  6 I 2.97-2.98
5 I 0.0262 0.6107 0.5321 (multiplicity 9)  1 In 2.98, 1 Na 3.18
6 I 0.0839 0.3492 0.3677 (multiplicity 9)  1 In 2.97, 1 Na 3.31

=====

Entry from the Alexandria database: a geometry-optimized KNaInI3 structure (PBE).

The density of states at the Fermi level is 0.000 states/eV per atom. The value obtained for the mass density is 3265 kg/m3. The magnetic moment is 0.0 μB per cell. For the uncorrected formation energy, the calculation gives -1020 meV/atom.

Cell: 10.2770 4.8987 11.3750 Å, 90.00 97.89 90.00°
Last column: nearest neighbours and their distance in Å.
Space group P2_1/m (No. 11)
Symmetry-distinct sites (fractional):
1 K 0.1617 0.2500 0.1920 (multiplicity 2)  7 I 3.60-3.90
2 Na 0.1193 0.2500 0.6010 (multiplicity 2)  4 I 3.05-3.15
3 In 0.3546 0.7500 0.8503 (multiplicity 2)  5 I 3.20-3.55
4 I 0.1078 0.2500 0.8675 (multiplicity 2)  1 Na 3.05
5 I 0.1891 0.7500 0.4606 (multiplicity 2)  3 Na 3.06-3.15
6 I 0.4020 0.7500 0.1347 (multiplicity 2)  3 In 3.20-3.49

=====

Entry from the Alexandria database: a geometry-optimized KNa2InI6 structure (PBE).

The density of states at the Fermi level is 0.000 states/eV per atom. The value obtained for the mass density is 3794 kg/m3. The magnetic moment is 0.0 μB per cell. For the uncorrected formation energy, the calculation gives -960 meV/atom.

Cell: 8.1072 8.1170 8.7368 Å, 90.04 117.61 119.96°
Last column: nearest neighbours and their distance in Å.
Space group P1 (No. 1)
Symmetry-distinct sites (fractional):
1 K 0.0000 0.0000 0.0000 (multiplicity 1)  6 I 3.45-3.66
2 Na 0.5924 0.2962 0.8878 (multiplicity 1)  6 I 3.26-3.33
3 Na 0.6216 0.8114 0.4314 (multiplicity 1)  6 I 3.19-3.31
4 In 0.9700 0.4850 0.4544 (multiplicity 1)  6 I 2.97-2.98
5 I 0.1095 0.2481 0.6766 (multiplicity 1)  1 In 2.98, 2 Na 3.27-3.31
6 I 0.1105 0.4355 0.2074 (multiplicity 1)  1 In 2.97, 2 Na 3.19-3.33
7 I 0.4290 0.8616 0.6766 (multiplicity 1)  1 In 2.98, 2 Na 3.27-3.31
8 I 0.5334 0.0984 0.2071 (multiplicity 1)  1 In 2.98, 2 Na 3.19-3.33
9 I 0.7723 0.6743 0.2071 (multiplicity 1)  1 In 2.98, 2 Na 3.19-3.33
10 I 0.8150 0.5676 0.6764 (multiplicity 1)  1 In 2.98, 2 Na 3.26-3.31

=====

What did the second record say?
Entry from the Alexandria database: a geometry-optimized KLiIn2I4 structure (PBE).

The density of states at the Fermi level is 0.000 states/eV per atom. The value obtained for the mass density is 4027 kg/m3. The magnetic moment is 0.0 μB per cell. For the uncorrected formation energy, the calculation gives -850 meV/atom.

Cell: 13.7413 13.6706 9.6945 Å, 90.00 134.82 90.00°
Last column: nearest neighbours and their distance in Å.
Space group C2/c (No. 15)
Symmetry-distinct sites (fractional):
1 K 0.2500 0.2500 0.0000 (multiplicity 4)  6 I 3.43-3.46
2 Li 0.0000 0.0000 0.0000 (multiplicity 4)  6 I 3.08-3.31
3 In 0.0000 0.5000 0.0000 (multiplicity 4)  6 I 3.58-3.75
4 In 0.2500 0.2500 0.5000 (multiplicity 4)  6 I 3.42-3.45
5 I 0.0000 0.2256 0.0007 (multiplicity 8)  1 Li 3.08, 2 In 3.45
6 I 0.2293 0.0004 0.4804 (multiplicity 8)  2 Li 3.29-3.31, 3 In 3.42-3.59, 1 K 3.43